No. 1
## CaCdTc2 (meta-GGA SCAN)

Data for a crystal of CaCdTc2 relaxed with PBEsol.

- calculated formation energy (eV/atom) = 0.571
- electronic total energy (eV/cell) = -215.8
- total magnetization (μB/f.u.) = 0.000

a = 5.569 Å, b = 9.644 Å, c = 2.681 Å
α = 90.00°, β = 107.29°, γ = 90.00°
Atoms (fractional coordinates):
1 Ca 0.000 0.000 0.000
2 Ca 0.500 0.500 0.000
3 Cd 0.000 0.500 0.000
4 Cd 0.500 0.000 0.000
5 Tc 0.250 0.250 0.500
6 Tc 0.250 0.750 0.500
7 Tc 0.750 0.250 0.500
8 Tc 0.750 0.750 0.500

=====

No. 2
## Sr4LiCl (meta-GGA SCAN)

Data for a crystal of Sr4LiCl relaxed with PBEsol.

- electronic total energy (eV/cell) = -98.7
- total magnetization (μB/f.u.) = 1.462

a = 7.597 Å, b = 7.597 Å, c = 7.597 Å
α = 60.00°, β = 60.00°, γ = 60.00°
Atoms (fractional coordinates):
1 Sr 0.376 0.376 0.376
2 Sr 0.376 0.376 0.873
3 Sr 0.376 0.873 0.376
4 Sr 0.873 0.376 0.376
5 Li 0.750 0.750 0.750
6 Cl 0.000 0.000 0.000

=====

No. 3
## GaP2IrS (meta-GGA SCAN)

Data for a crystal of GaP2IrS relaxed with PBEsol.

- electronic total energy (eV/cell) = -110.5
- total magnetization (μB/f.u.) = 0.000

a = 4.441 Å, b = 4.441 Å, c = 4.482 Å
α = 90.00°, β = 90.00°, γ = 90.00°
Atoms (fractional coordinates):
1 Ga 0.000 0.000 0.000
2 P 0.000 0.500 0.000
3 P 0.500 0.000 0.000
4 Ir 0.500 0.500 0.500
5 S 0.000 0.000 0.500

=====

No. 4
## CrCo2 (meta-GGA SCAN)

Data for a crystal of CrCo2 relaxed with PBEsol.

- calculated formation energy (eV/atom) = 0.346
- electronic total energy (eV/cell) = -52.0
- total magnetization (μB/f.u.) = 0.002

a = 2.437 Å, b = 2.437 Å, c = 5.990 Å
α = 90.00°, β = 90.00°, γ = 120.00°
Atoms (fractional coordinates):
1 Cr 0.000 0.000 0.000
2 Co 0.333 0.667 0.670
3 Co 0.667 0.333 0.330

=====

No. 5
## ZrZnPd3 (meta-GGA SCAN)

Data for a crystal of ZrZnPd3 relaxed with PBEsol.

- calculated formation energy (eV/atom) = 0.774
- electronic total energy (eV/cell) = -138.7
- total magnetization (μB/f.u.) = 0.000

a = 4.794 Å, b = 4.794 Å, c = 4.794 Å
α = 90.00°, β = 90.00°, γ = 90.00°
Atoms (fractional coordinates):
1 Zr 0.000 0.000 0.000
2 Zn 0.500 0.500 0.500
3 Pd 0.000 0.000 0.500
4 Pd 0.000 0.500 0.000
5 Pd 0.500 0.000 0.000

=====

No. 6
## LaAl2Ni (meta-GGA SCAN)

Data for a crystal of LaAl2Ni relaxed with PBEsol.

- calculated formation energy (eV/atom) = -0.271
- electronic total energy (eV/cell) = -151.7
- total magnetization (μB/f.u.) = 0.000

a = 4.147 Å, b = 3.237 Å, c = 11.671 Å
α = 90.00°, β = 90.00°, γ = 90.00°
Atoms (fractional coordinates):
1 La 0.000 0.000 0.000
2 La 0.000 0.500 0.500
3 Al 0.000 0.000 0.733
4 Al 0.000 0.500 0.233
5 Al 0.500 0.000 0.299
6 Al 0.500 0.500 0.799
7 Ni 0.500 0.000 0.634
8 Ni 0.500 0.500 0.134

=====

No. 7
## AlHOsF2 (meta-GGA SCAN)

Data for a crystal of AlHOsF2 relaxed with PBEsol.

- electronic total energy (eV/cell) = -90.6
- total magnetization (μB/f.u.) = 0.971

a = 3.918 Å, b = 3.918 Å, c = 4.990 Å
α = 90.00°, β = 90.00°, γ = 90.00°
Atoms (fractional coordinates):
1 Al 0.000 0.000 0.000
2 H 0.500 0.500 0.000
3 Os 0.000 0.000 0.500
4 F 0.000 0.500 0.500
5 F 0.500 0.000 0.500

=====

No. 8
## SrAu4 (meta-GGA SCAN)

Data for a crystal of SrAu4 relaxed with PBEsol.

- calculated formation energy (eV/atom) = -0.534
- electronic total energy (eV/cell) = -1206.3
- total magnetization (μB/f.u.) = 0.000

a = 8.269 Å, b = 8.269 Å, c = 8.269 Å
α = 109.47°, β = 109.47°, γ = 109.47°
Atoms (fractional coordinates):
1 Sr 0.000 0.000 0.569
2 Sr 0.000 0.569 0.000
3 Sr 0.431 0.431 0.431
4 Sr 0.569 0.000 0.000
5 Au 0.000 0.000 0.210
6 Au 0.000 0.210 0.000
7 Au 0.000 0.352 0.352
8 Au 0.000 0.648 0.648
9 Au 0.210 0.000 0.000
10 Au 0.250 0.500 0.750
11 Au 0.250 0.750 0.500
12 Au 0.352 0.000 0.352
13 Au 0.352 0.352 0.000
14 Au 0.500 0.250 0.750
15 Au 0.500 0.750 0.250
16 Au 0.648 0.000 0.648
17 Au 0.648 0.648 0.000
18 Au 0.750 0.250 0.500
19 Au 0.750 0.500 0.250
20 Au 0.790 0.790 0.790

=====

> What is the electronic total energy in the fifth record?

-138.7 eV/cell